Record 1
DFT (PBE with a Hubbard U) results for an optimized crystal structure of Li5MnCo2O8.

a = 6.3949 Å, b = 6.3949 Å, c = 9.7307 Å
α = 127.52°, β = 127.52°, γ = 25.83°
Fractional positions:
Li (0.0000, 0.0000, 0.0000)
Li (0.1212, 0.1212, 0.3641)
Li (0.2441, 0.2441, 0.7329)
Li (0.5024, 0.5024, 0.4913)
Li (0.7350, 0.7350, 0.2437)
Mn (0.3740, 0.3740, 0.1189)
Co (0.6175, 0.6175, 0.8622)
Co (0.8654, 0.8654, 0.6116)
O (0.0560, 0.0560, 0.6927)
O (0.1786, 0.1786, 0.0317)
O (0.3201, 0.3201, 0.4545)
O (0.4329, 0.4329, 0.7823)
O (0.5415, 0.5415, 0.1676)
O (0.6998, 0.6998, 0.5613)
O (0.8038, 0.8038, 0.9417)
O (0.9198, 0.9198, 0.2802)

Output
The value obtained for the energy above the most stable polymorph in this dataset is 0.006 eV/atom. The total energy is -5.743 eV/atom.

Record 2
DFT (PBE with a Hubbard U) results for an optimized crystal structure of Li4MnCo2O7.

a = 5.8250 Å, b = 5.8250 Å, c = 16.7122 Å
α = 95.00°, β = 95.00°, γ = 35.76°
Fractional positions:
Li (0.0000, 0.0000, 0.0000)
Li (0.0000, 0.0000, 0.5000)
Li (0.1943, 0.1943, 0.3617)
Li (0.2163, 0.2163, 0.5310)
Li (0.2579, 0.2579, 0.7603)
Li (0.7421, 0.7421, 0.2397)
Li (0.7837, 0.7837, 0.4690)
Li (0.8057, 0.8057, 0.6383)
Mn (0.3899, 0.3899, 0.1769)
Mn (0.6101, 0.6101, 0.8231)
Co (0.2872, 0.2872, 0.9380)
Co (0.4437, 0.4437, 0.3686)
Co (0.5563, 0.5563, 0.6314)
Co (0.7128, 0.7128, 0.0620)
O (0.0276, 0.0276, 0.3814)
O (0.1555, 0.1555, 0.8453)
O (0.1819, 0.1819, 0.0243)
O (0.3078, 0.3078, 0.2752)
O (0.3245, 0.3245, 0.4492)
O (0.3926, 0.3926, 0.8600)
O (0.4929, 0.4929, 0.0891)
O (0.5071, 0.5071, 0.9109)
O (0.6074, 0.6074, 0.1400)
O (0.6755, 0.6755, 0.5508)
O (0.6922, 0.6922, 0.7248)
O (0.8181, 0.8181, 0.9757)
O (0.8445, 0.8445, 0.1547)
O (0.9724, 0.9724, 0.6186)

Output
The value obtained for the energy above the most stable polymorph in this dataset is 0.354 eV/atom. The total energy is -5.528 eV/atom.

Record 3
DFT (PBE with a Hubbard U) results for an optimized crystal structure of Li7Mn4CoO12.

a = 6.5394 Å, b = 6.5394 Å, c = 5.1852 Å
α = 96.14°, β = 96.14°, γ = 83.48°
Fractional positions:
Li (0.0000, 0.0000, 0.0000)
Li (0.0819, 0.4119, 0.2501)
Li (0.2440, 0.2388, 0.7536)
Li (0.4084, 0.0813, 0.2382)
Li (0.5881, 0.9181, 0.7499)
Li (0.7612, 0.7560, 0.2464)
Li (0.9187, 0.5916, 0.7618)
Mn (0.1661, 0.8339, 0.5000)
Mn (0.3308, 0.6692, 0.0000)
Mn (0.5002, 0.4998, 0.5000)
Mn (0.6675, 0.3325, 0.0000)
Co (0.8419, 0.1581, 0.5000)
O (0.0673, 0.7154, 0.1492)
O (0.1281, 0.1088, 0.3936)
O (0.2168, 0.5503, 0.6060)
O (0.2846, 0.9327, 0.8508)
O (0.3848, 0.3806, 0.1046)
O (0.4497, 0.7832, 0.3940)
O (0.5541, 0.2292, 0.6512)
O (0.6194, 0.6152, 0.8954)
O (0.7086, 0.0693, 0.1442)
O (0.7708, 0.4459, 0.3488)
O (0.8912, 0.8719, 0.6064)
O (0.9307, 0.2914, 0.8558)

Output
The value obtained for the energy above the most stable polymorph in this dataset is 0.024 eV/atom. The total energy is -6.210 eV/atom.

Record 4
DFT (PBE with a Hubbard U) results for an optimized crystal structure of Li4MnCo2O7.

a = 6.4451 Å, b = 6.4451 Å, c = 14.4124 Å
α = 108.64°, β = 108.64°, γ = 26.41°
Fractional positions:
Li (0.0000, 0.0000, 0.0000)
Li (0.0008, 0.0008, 0.4979)
Li (0.1366, 0.1366, 0.2061)
Li (0.3001, 0.3001, 0.9422)
Li (0.4339, 0.4339, 0.6440)
Li (0.5677, 0.5677, 0.3444)
Li (0.7120, 0.7120, 0.0775)
Li (0.8623, 0.8623, 0.8026)
Mn (0.5699, 0.5699, 0.8575)
Mn (0.7196, 0.7196, 0.5754)
Co (0.1451, 0.1451, 0.7145)
Co (0.2964, 0.2964, 0.4263)
Co (0.4318, 0.4318, 0.1310)
Co (0.8576, 0.8576, 0.2778)
O (0.0152, 0.0152, 0.7565)
O (0.1350, 0.1350, 0.9434)
O (0.1604, 0.1604, 0.4836)
O (0.2757, 0.2757, 0.6694)
O (0.2911, 0.2911, 0.1856)
O (0.4290, 0.4290, 0.3989)
O (0.4385, 0.4385, 0.8862)
O (0.5657, 0.5657, 0.1101)
O (0.5880, 0.5880, 0.6189)
O (0.7010, 0.7010, 0.8045)
O (0.7261, 0.7261, 0.3334)
O (0.8520, 0.8520, 0.5396)
O (0.8557, 0.8557, 0.0410)
O (0.9930, 0.9930, 0.2529)

Output
The value obtained for the energy above the most stable polymorph in this dataset is 0.066 eV/atom. The total energy is -5.815 eV/atom.

Record 5
DFT (PBE with a Hubbard U) results for an optimized crystal structure of Li4MnCo2O7.

a = 5.1508 Å, b = 5.1508 Å, c = 17.5217 Å
α = 95.09°, β = 95.09°, γ = 32.79°
Fractional positions:
Li (0.0000, 0.0000, 0.0000)
Li (0.0000, 0.0000, 0.5000)
Li (0.1359, 0.1359, 0.2860)
Li (0.2886, 0.2886, 0.5642)
Li (0.4291, 0.4291, 0.8598)
Li (0.5709, 0.5709, 0.1402)
Li (0.7114, 0.7114, 0.4358)
Li (0.8641, 0.8641, 0.7140)
Mn (0.4226, 0.4226, 0.3619)
Mn (0.5774, 0.5774, 0.6381)
Co (0.1428, 0.1428, 0.7871)
Co (0.2903, 0.2903, 0.0703)
Co (0.7097, 0.7097, 0.9297)
Co (0.8572, 0.8572, 0.2129)
O (0.0479, 0.0479, 0.3881)
O (0.0775, 0.0775, 0.8927)
O (0.2026, 0.2026, 0.6768)
O (0.2224, 0.2224, 0.1754)
O (0.3482, 0.3482, 0.9670)
O (0.3555, 0.3555, 0.4561)
O (0.4867, 0.4867, 0.2543)
O (0.5133, 0.5133, 0.7457)
O (0.6445, 0.6445, 0.5439)
O (0.6518, 0.6518, 0.0330)
O (0.7776, 0.7776, 0.8246)
O (0.7974, 0.7974, 0.3232)
O (0.9225, 0.9225, 0.1073)
O (0.9521, 0.9521, 0.6119)

Output
The value obtained for the energy above the most stable polymorph in this dataset is 0.072 eV/atom. The total energy is -5.810 eV/atom.

Record 6
DFT (PBE with a Hubbard U) results for an optimized crystal structure of Li4MnCo2O7.

a = 6.1076 Å, b = 6.7690 Å, c = 7.4574 Å
α = 65.24°, β = 67.32°, γ = 73.07°
Fractional positions:
Li (0.0000, 0.0000, 0.0000)
Li (0.0000, 0.0000, 0.5000)
Li (0.2211, 0.4777, 0.3271)
Li (0.2370, 0.1179, 0.5832)
Li (0.3948, 0.7198, 0.8944)
Li (0.6052, 0.2802, 0.1056)
Li (0.7630, 0.8821, 0.4168)
Li (0.7789, 0.5223, 0.6729)
Mn (0.1474, 0.2893, 0.0734)
Mn (0.8526, 0.7107, 0.9266)
Co (0.2859, 0.5744, 0.6437)
Co (0.4099, 0.8564, 0.2337)
Co (0.5901, 0.1436, 0.7663)
Co (0.7141, 0.4256, 0.3563)
O (0.0027, 0.5476, 0.1534)
O (0.1385, 0.7282, 0.4197)
O (0.1448, 0.8261, 0.7477)
O (0.2856, 0.0391, 0.9815)
O (0.3038, 0.1521, 0.2840)
O (0.4171, 0.3253, 0.5504)
O (0.4335, 0.4197, 0.8676)
O (0.5665, 0.5803, 0.1324)
O (0.5829, 0.6747, 0.4496)
O (0.6962, 0.8479, 0.7160)
O (0.7144, 0.9609, 0.0185)
O (0.8552, 0.1739, 0.2523)
O (0.8615, 0.2718, 0.5803)
O (0.9973, 0.4524, 0.8466)

Output
The value obtained for the energy above the most stable polymorph in this dataset is 0.086 eV/atom. The total energy is -5.795 eV/atom.

Record 7
DFT (PBE with a Hubbard U) results for an optimized crystal structure of Li4MnCo2O7.

a = 2.9127 Å, b = 7.7640 Å, c = 11.3549 Å
α = 96.72°, β = 97.33°, γ = 100.52°
Fractional positions:
Li (0.0000, 0.0000, 0.0000)
Li (0.0116, 0.4936, 0.4911)
Li (0.1558, 0.8516, 0.4211)
Li (0.3245, 0.7073, 0.8451)
Li (0.4728, 0.5746, 0.2898)
Li (0.5986, 0.4374, 0.6846)
Li (0.7269, 0.2850, 0.1452)
Li (0.8710, 0.1430, 0.5595)
Mn (0.1819, 0.3665, 0.9294)
Mn (0.4239, 0.0680, 0.7792)
Co (0.2941, 0.2204, 0.3557)
Co (0.5815, 0.9381, 0.2111)
Co (0.7104, 0.7633, 0.6183)
Co (0.9026, 0.6546, 0.0722)
O (0.0129, 0.7763, 0.2353)
O (0.1489, 0.1001, 0.1881)
O (0.1698, 0.6141, 0.6716)
O (0.3006, 0.9644, 0.6172)
O (0.3839, 0.4803, 0.1015)
O (0.4192, 0.8266, 0.0462)
O (0.4280, 0.3055, 0.5124)
O (0.5477, 0.1839, 0.9505)
O (0.5964, 0.6908, 0.4601)
O (0.7193, 0.0551, 0.3742)
O (0.8073, 0.5418, 0.9042)
O (0.8654, 0.3671, 0.3204)
O (0.8648, 0.9142, 0.8130)
O (0.9922, 0.2347, 0.7542)

Output
The value obtained for the energy above the most stable polymorph in this dataset is 0.068 eV/atom. The total energy is -5.813 eV/atom.

Record 8
DFT (PBE with a Hubbard U) results for an optimized crystal structure of Li6Mn3CoO10.

a = 7.6199 Å, b = 7.6199 Å, c = 5.1277 Å
α = 96.68°, β = 96.68°, γ = 141.03°
Fractional positions:
Li (0.0000, 0.0000, 0.0000)
Li (0.2038, 0.7962, 0.0000)
Li (0.4020, 0.5980, 0.0000)
Li (0.6006, 0.3994, 0.0000)
Li (0.8060, 0.1940, 0.0000)
Li (0.9043, 0.0957, 0.5000)
Mn (0.3012, 0.6988, 0.5000)
Mn (0.5001, 0.4999, 0.5000)
Mn (0.7033, 0.2967, 0.5000)
Co (0.1010, 0.8990, 0.5000)
O (0.0519, 0.4576, 0.7184)
O (0.1818, 0.3787, 0.2685)
O (0.2650, 0.2476, 0.7213)
O (0.3517, 0.1538, 0.2844)
O (0.4265, 0.0207, 0.7348)
O (0.5424, 0.9481, 0.2816)
O (0.6213, 0.8182, 0.7315)
O (0.7524, 0.7350, 0.2787)
O (0.8462, 0.6483, 0.7156)
O (0.9793, 0.5735, 0.2652)

Output
The value obtained for the energy above the most stable polymorph in this dataset is 0.000 eV/atom. The total energy is -6.145 eV/atom.

Among the records above, which one has the highest energy above the most stable polymorph in this dataset? number 2